# Tm2GaNi, relaxed, DFT PBE
# - DFT formation energy: 0.68 eV per formula unit
# - Crystal system: trigonal
data_Tm2GaNi
_chemical_formula_sum 'Tm6 Ga3 Ni3'
_symmetry_space_group_name_H-M 'R -3 m'
_symmetry_Int_Tables_number 166
_symmetry_space_group_name_Hall '-R 3 2"'
_cell_length_a 3.3077
_cell_length_b 3.3077
_cell_length_c 28.6066
_cell_angle_alpha 90.00
_cell_angle_beta 90.00
_cell_angle_gamma 120.00
loop_
_atom_site_label
_atom_site_type_symbol
_atom_site_fract_x
_atom_site_fract_y
_atom_site_fract_z
Tm1 Tm 0.0000 0.0000 0.0874
Ga1 Ga 0.0000 0.0000 0.5000
Ni1 Ni 0.0000 0.0000 0.0000


# CoRuCl3, relaxed, DFT PBE
# - Crystal system: triclinic
# - Relative energy among the computed polymorphs: 0.47 eV per formula unit
data_CoRuCl3
_chemical_formula_sum 'Co2 Ru2 Cl6'
_symmetry_space_group_name_H-M 'P 1'
_symmetry_Int_Tables_number 1
_cell_length_a 6.122
_cell_length_b 7.037
_cell_length_c 7.566
_cell_angle_alpha 103.87
_cell_angle_beta 103.77
_cell_angle_gamma 115.11
loop_
_symmetry_equiv_pos_as_xyz
'x,y,z'
loop_
_atom_site_label
_atom_site_type_symbol
_atom_site_fract_x
_atom_site_fract_y
_atom_site_fract_z
Co1 Co 0.000 0.000 0.000
Co2 Co 0.336 0.666 0.204
Ru1 Ru 0.674 0.757 0.062
Ru2 Ru 0.753 0.466 0.043
Cl1 Cl 0.055 0.567 0.357
Cl2 Cl 0.108 0.732 0.962
Cl3 Cl 0.391 0.336 0.153
Cl4 Cl 0.456 0.441 0.747
Cl5 Cl 0.719 0.096 0.885
Cl6 Cl 0.758 0.956 0.386


# CeMgGe2Rh5, relaxed, DFT PBE
# - DFT formation energy: -5.00 eV per formula unit
# - Crystal system: tetragonal
data_CeMgGe2Rh5
_chemical_formula_sum 'Ce1 Mg1 Ge2 Rh5'
_symmetry_space_group_name_H-M 'P 4/m m m'
_symmetry_Int_Tables_number 123
_symmetry_space_group_name_Hall '-P 4 2'
_cell_length_a 4.148
_cell_length_b 4.148
_cell_length_c 8.946
_cell_angle_alpha 90.00
_cell_angle_beta 90.00
_cell_angle_gamma 90.00
loop_
_atom_site_label
_atom_site_type_symbol
_atom_site_fract_x
_atom_site_fract_y
_atom_site_fract_z
Ce1 Ce 0.000 0.000 0.000
Mg1 Mg 0.000 0.000 0.500
Ge1 Ge 0.500 0.500 0.364
Rh1 Rh 0.000 0.500 0.228
Rh2 Rh 0.500 0.500 0.000


# TcBr5, relaxed, DFT PBE
# - Crystal system: tetragonal
# - Relative energy among the computed polymorphs: 1.87 eV per formula unit
data_TcBr5
_chemical_formula_sum 'Tc1 Br5'
_symmetry_space_group_name_H-M 'P 4/m m m'
_symmetry_Int_Tables_number 123
_symmetry_space_group_name_Hall '-P 4 2'
_cell_length_a 3.090
_cell_length_b 3.090
_cell_length_c 17.901
_cell_angle_alpha 90.00
_cell_angle_beta 90.00
_cell_angle_gamma 90.00
loop_
_atom_site_label
_atom_site_type_symbol
_atom_site_fract_x
_atom_site_fract_y
_atom_site_fract_z
Tc1 Tc 0.000 0.000 0.000
Br1 Br 0.000 0.000 0.269
Br2 Br 0.500 0.500 0.088
Br3 Br 0.500 0.500 0.500


# PmGe2Pd7, relaxed, DFT PBE
# - DFT formation energy: -3.18 eV per formula unit
# - Crystal system: orthorhombic
# - Relative energy among the computed polymorphs: 2.90 eV per formula unit
data_PmGe2Pd7
_chemical_formula_sum 'Pm2 Ge4 Pd14'
_symmetry_space_group_name_H-M 'C m m m'
_symmetry_Int_Tables_number 65
_symmetry_space_group_name_Hall '-C 2 2'
_cell_length_a 7.366
_cell_length_b 12.132
_cell_length_c 4.561
_cell_angle_alpha 90.00
_cell_angle_beta 90.00
_cell_angle_gamma 90.00
loop_
_atom_site_label
_atom_site_type_symbol
_atom_site_fract_x
_atom_site_fract_y
_atom_site_fract_z
Pm1 Pm 0.000 0.000 0.000
Ge1 Ge 0.000 0.302 0.500
Pd1 Pd 0.000 0.235 0.000
Pd2 Pd 0.000 0.500 0.500
Pd3 Pd 0.188 0.124 0.500


# SiWAu, relaxed, DFT PBE
# - Crystal system: orthorhombic
# - Relative energy among the computed polymorphs: 0.24 eV per formula unit
data_SiWAu
_chemical_formula_sum 'Si2 W2 Au2'
_symmetry_space_group_name_H-M 'I m m 2'
_symmetry_Int_Tables_number 44
_cell_length_a 2.849
_cell_length_b 3.344
_cell_length_c 9.982
_cell_angle_alpha 90.00
_cell_angle_beta 90.00
_cell_angle_gamma 90.00
loop_
_symmetry_equiv_pos_as_xyz
'x,y,z'
'-x,-y,z'
'-x,y,z'
'x,-y,z'
'x+1/2,y+1/2,z+1/2'
'-x+1/2,-y+1/2,z+1/2'
'-x+1/2,y+1/2,z+1/2'
'x+1/2,-y+1/2,z+1/2'
loop_
_atom_site_label
_atom_site_type_symbol
_atom_site_fract_x
_atom_site_fract_y
_atom_site_fract_z
Si1 Si 0.000 0.000 0.000
W1 W 0.000 0.000 0.366
Au1 Au 0.000 0.000 0.670


# Pr3Ge2H, relaxed, DFT PBE
# - Crystal system: monoclinic
# - Relative energy among the computed polymorphs: 0.89 eV per formula unit
data_Pr3Ge2H
_chemical_formula_sum 'Pr12 Ge8 H4'
_symmetry_space_group_name_H-M 'C 1 2/c 1'
_symmetry_Int_Tables_number 15
_cell_length_a 13.313
_cell_length_b 6.038
_cell_length_c 8.411
_cell_angle_alpha 90.00
_cell_angle_beta 108.42
_cell_angle_gamma 90.00
loop_
_symmetry_equiv_pos_as_xyz
'x,y,z'
'-x,-y,-z'
'-x,y,-z+1/2'
'x,-y,z+1/2'
'x+1/2,y+1/2,z'
'-x+1/2,-y+1/2,-z'
'-x+1/2,y+1/2,-z+1/2'
'x+1/2,-y+1/2,z+1/2'
loop_
_atom_site_label
_atom_site_type_symbol
_atom_site_fract_x
_atom_site_fract_y
_atom_site_fract_z
Pr1 Pr 0.000 0.029 0.250
Pr2 Pr 0.165 0.499 0.582
Ge1 Ge 0.166 0.002 0.083
H1 H 0.000 0.455 0.250


# LiNd2Zn, relaxed, DFT PBE
# - DFT formation energy: -0.43 eV per formula unit
# - Crystal system: cubic
# - Relative energy among the computed polymorphs: 0.05 eV per formula unit
data_LiNd2Zn
_chemical_formula_sum 'Li4 Nd8 Zn4'
_symmetry_space_group_name_H-M 'F m -3 m'
_symmetry_Int_Tables_number 225
_symmetry_space_group_name_Hall '-F 4 2 3'
_cell_length_a 7.459
_cell_length_b 7.459
_cell_length_c 7.459
_cell_angle_alpha 90.00
_cell_angle_beta 90.00
_cell_angle_gamma 90.00
loop_
_atom_site_label
_atom_site_type_symbol
_atom_site_fract_x
_atom_site_fract_y
_atom_site_fract_z
Li1 Li 0.000 0.000 0.000
Nd1 Nd 0.250 0.250 0.250
Zn1 Zn 0.000 0.000 0.500


# Sc2PdRh2, relaxed, DFT PBE
# - DFT formation energy: -3.89 eV per formula unit
# - Crystal system: tetragonal
# - Relative energy among the computed polymorphs: 0.00 eV per formula unit
data_Sc2PdRh2
_chemical_formula_sum 'Sc4 Pd2 Rh4'
_symmetry_space_group_name_H-M 'P 4/m b m'
_symmetry_Int_Tables_number 127
_symmetry_space_group_name_Hall '-P 4 2ab'
_cell_length_a 7.102
_cell_length_b 7.102
_cell_length_c 3.431
_cell_angle_alpha 90.00
_cell_angle_beta 90.00
_cell_angle_gamma 90.00
loop_
_atom_site_label
_atom_site_type_symbol
_atom_site_fract_x
_atom_site_fract_y
_atom_site_fract_z
Sc1 Sc 0.171 0.329 0.000
Pd1 Pd 0.000 0.000 0.500
Rh1 Rh 0.134 0.634 0.500


# PrEr2Hg6, relaxed, DFT PBE
# - DFT formation energy: -3.42 eV per formula unit
# - Crystal system: hexagonal
# - Relative energy among the computed polymorphs: 0.00 eV per formula unit
data_PrEr2Hg6
_chemical_formula_sum 'Pr1 Er2 Hg6'
_symmetry_space_group_name_H-M 'P 6/m m m'
_symmetry_Int_Tables_number 191
_symmetry_space_group_name_Hall '-P 6 2'
_cell_length_a 8.6436
_cell_length_b 8.6436
_cell_length_c 3.4401
_cell_angle_alpha 90.00
_cell_angle_beta 90.00
_cell_angle_gamma 120.00
loop_
_atom_site_label
_atom_site_type_symbol
_atom_site_fract_x
_atom_site_fract_y
_atom_site_fract_z
Pr1 Pr 0.0000 0.0000 0.0000
Er1 Er 0.3333 0.6667 0.0000
Hg1 Hg 0.0000 0.3364 0.5000


# Tb3Si3B8, relaxed, DFT PBE
# - Raw total energy: -6.00 eV/atom
# - Crystal system: orthorhombic
data_Tb3Si3B8
_chemical_formula_sum 'Tb6 Si6 B16'
_symmetry_space_group_name_H-M 'I m m m'
_symmetry_Int_Tables_number 71
_symmetry_space_group_name_Hall '-I 2 2'
_cell_length_a 3.160
_cell_length_b 8.577
_cell_length_c 12.938
_cell_angle_alpha 90.00
_cell_angle_beta 90.00
_cell_angle_gamma 90.00
loop_
_atom_site_label
_atom_site_type_symbol
_atom_site_fract_x
_atom_site_fract_y
_atom_site_fract_z
Tb1 Tb 0.000 0.000 0.000
Tb2 Tb 0.000 0.000 0.284
Si1 Si 0.000 0.214 0.500
Si2 Si 0.000 0.500 0.000
B1 B 0.000 0.243 0.138
B2 B 0.000 0.321 0.357


# Hf2NbCr, relaxed, DFT PBE
# - DFT formation energy: 0.51 eV per formula unit
# - Crystal system: tetragonal
# - Relative energy among the computed polymorphs: 0.00 eV per formula unit
data_Hf2NbCr
_chemical_formula_sum 'Hf2 Nb1 Cr1'
_symmetry_space_group_name_H-M 'P 4/m m m'
_symmetry_Int_Tables_number 123
_symmetry_space_group_name_Hall '-P 4 2'
_cell_length_a 3.255
_cell_length_b 3.255
_cell_length_c 6.989
_cell_angle_alpha 90.00
_cell_angle_beta 90.00
_cell_angle_gamma 90.00
loop_
_atom_site_label
_atom_site_type_symbol
_atom_site_fract_x
_atom_site_fract_y
_atom_site_fract_z
Hf1 Hf 0.000 0.000 0.227
Nb1 Nb 0.500 0.500 0.500
Cr1 Cr 0.500 0.500 0.000


# SiSb2Br, relaxed, DFT PBE
# - Crystal system: orthorhombic
# - Relative energy among the computed polymorphs: 0.08 eV per formula unit
data_SiSb2Br
_chemical_formula_sum 'Si2 Sb4 Br2'
_symmetry_space_group_name_H-M 'I m m 2'
_symmetry_Int_Tables_number 44
_cell_length_a 3.895
_cell_length_b 3.944
_cell_length_c 14.898
_cell_angle_alpha 90.00
_cell_angle_beta 90.00
_cell_angle_gamma 90.00
loop_
_symmetry_equiv_pos_as_xyz
'x,y,z'
'-x,-y,z'
'-x,y,z'
'x,-y,z'
'x+1/2,y+1/2,z+1/2'
'-x+1/2,-y+1/2,z+1/2'
'-x+1/2,y+1/2,z+1/2'
'x+1/2,-y+1/2,z+1/2'
loop_
_atom_site_label
_atom_site_type_symbol
_atom_site_fract_x
_atom_site_fract_y
_atom_site_fract_z
Si1 Si 0.000 0.000 0.000
Sb1 Sb 0.000 0.000 0.541
Sb2 Sb 0.000 0.500 0.368
Br1 Br 0.000 0.500 0.754


# LaIrRh2, relaxed, DFT PBE
# - DFT formation energy: -2.00 eV per formula unit
# - Crystal system: trigonal
# - Relative energy among the computed polymorphs: 0.00 eV per formula unit
data_LaIrRh2
_chemical_formula_sum 'La9 Ir9 Rh18'
_symmetry_space_group_name_H-M 'R -3 m'
_symmetry_Int_Tables_number 166
_symmetry_space_group_name_Hall '-R 3 2"'
_cell_length_a 5.3796
_cell_length_b 5.3796
_cell_length_c 26.7261
_cell_angle_alpha 90.00
_cell_angle_beta 90.00
_cell_angle_gamma 120.00
loop_
_atom_site_label
_atom_site_type_symbol
_atom_site_fract_x
_atom_site_fract_y
_atom_site_fract_z
La1 La 0.0000 0.0000 0.0000
La2 La 0.0000 0.0000 0.1387
Ir1 Ir 0.0000 0.0000 0.3320
Ir2 Ir 0.0000 0.0000 0.5000
Rh1 Rh 0.0036 0.5018 0.0808


# Rb4As, relaxed, DFT PBE
# - DFT formation energy: -0.48 eV per formula unit
# - Crystal system: cubic
data_Rb4As
_chemical_formula_sum 'Rb4 As1'
_symmetry_space_group_name_H-M 'P m -3 m'
_symmetry_Int_Tables_number 221
_symmetry_space_group_name_Hall '-P 4 2 3'
_cell_length_a 6.949
_cell_length_b 6.949
_cell_length_c 6.949
_cell_angle_alpha 90.00
_cell_angle_beta 90.00
_cell_angle_gamma 90.00
loop_
_atom_site_label
_atom_site_type_symbol
_atom_site_fract_x
_atom_site_fract_y
_atom_site_fract_z
Rb1 Rb 0.000 0.000 0.000
Rb2 Rb 0.000 0.500 0.500
As1 As 0.500 0.500 0.500


# HfZrGe, relaxed, DFT PBE
# - DFT formation energy: -1.35 eV per formula unit
# - Crystal system: monoclinic
data_HfZrGe
_chemical_formula_sum 'Hf4 Zr4 Ge4'
_symmetry_space_group_name_H-M 'C 1 2/m 1'
_symmetry_Int_Tables_number 12
_cell_length_a 10.139
_cell_length_b 3.554
_cell_length_c 7.110
_cell_angle_alpha 90.00
_cell_angle_beta 110.51
_cell_angle_gamma 90.00
loop_
_symmetry_equiv_pos_as_xyz
'x,y,z'
'-x,-y,-z'
'-x,y,-z'
'x,-y,z'
'x+1/2,y+1/2,z'
'-x+1/2,-y+1/2,-z'
'-x+1/2,y+1/2,-z'
'x+1/2,-y+1/2,z'
loop_
_atom_site_label
_atom_site_type_symbol
_atom_site_fract_x
_atom_site_fract_y
_atom_site_fract_z
Hf1 Hf 0.157 0.000 0.077
Zr1 Zr 0.156 0.000 0.580
Ge1 Ge 0.003 0.500 0.248


# LiErPb4, relaxed, DFT PBE
# - DFT formation energy: -0.99 eV per formula unit
# - Crystal system: monoclinic
data_LiErPb4
_chemical_formula_sum 'Li1 Er1 Pb4'
_symmetry_space_group_name_H-M 'P 1 2/m 1'
_symmetry_Int_Tables_number 10
_cell_length_a 3.573
_cell_length_b 4.476
_cell_length_c 10.449
_cell_angle_alpha 90.00
_cell_angle_beta 90.06
_cell_angle_gamma 90.00
loop_
_symmetry_equiv_pos_as_xyz
'x,y,z'
'-x,-y,-z'
'-x,y,-z'
'x,-y,z'
loop_
_atom_site_label
_atom_site_type_symbol
_atom_site_fract_x
_atom_site_fract_y
_atom_site_fract_z
Li1 Li 0.000 0.000 0.000
Er1 Er 0.500 0.500 0.500
Pb1 Pb 0.000 0.000 0.334
Pb2 Pb 0.498 0.500 0.843


# Nd2TlSi, relaxed, DFT PBE
# - Raw total energy: -4.85 eV/atom
# - Crystal system: orthorhombic
data_Nd2TlSi
_chemical_formula_sum 'Nd8 Tl4 Si4'
_symmetry_space_group_name_H-M 'A m m 2'
_symmetry_Int_Tables_number 38
_cell_length_a 6.952
_cell_length_b 4.515
_cell_length_c 14.143
_cell_angle_alpha 90.00
_cell_angle_beta 90.00
_cell_angle_gamma 90.00
loop_
_symmetry_equiv_pos_as_xyz
'x,y,z'
'-x,-y,z'
'-x,y,z'
'x,-y,z'
'x,y+1/2,z+1/2'
'-x,-y+1/2,z+1/2'
'-x,y+1/2,z+1/2'
'x,-y+1/2,z+1/2'
loop_
_atom_site_label
_atom_site_type_symbol
_atom_site_fract_x
_atom_site_fract_y
_atom_site_fract_z
Nd1 Nd 0.000 0.000 0.000
Nd2 Nd 0.000 0.000 0.252
Nd3 Nd 0.500 0.000 0.160
Nd4 Nd 0.500 0.000 0.454
Tl1 Tl 0.289 0.000 0.821
Si1 Si 0.184 0.000 0.617


# Ce2GaSe4, relaxed, DFT PBE
# - Raw total energy: -5.41 eV/atom
# - Crystal system: monoclinic
data_Ce2GaSe4
_chemical_formula_sum 'Ce4 Ga2 Se8'
_symmetry_space_group_name_H-M 'P 1 21/m 1'
_symmetry_Int_Tables_number 11
_cell_length_a 6.783
_cell_length_b 6.790
_cell_length_c 8.257
_cell_angle_alpha 90.00
_cell_angle_beta 107.45
_cell_angle_gamma 90.00
loop_
_symmetry_equiv_pos_as_xyz
'x,y,z'
'-x,-y,-z'
'-x,y+1/2,-z'
'x,-y+1/2,z'
loop_
_atom_site_label
_atom_site_type_symbol
_atom_site_fract_x
_atom_site_fract_y
_atom_site_fract_z
Ce1 Ce 0.227 0.250 0.052
Ce2 Ce 0.247 0.250 0.565
Ga1 Ga 0.268 0.750 0.318
Se1 Se 0.002 0.007 0.255
Se2 Se 0.419 0.750 0.080
Se3 Se 0.429 0.750 0.633


# LuCdInRu, relaxed, DFT PBE
# - DFT formation energy: -0.48 eV per formula unit
# - Crystal system: cubic
data_LuCdInRu
_chemical_formula_sum 'Lu4 Cd4 In4 Ru4'
_symmetry_space_group_name_H-M 'F -4 3 m'
_symmetry_Int_Tables_number 216
_symmetry_space_group_name_Hall 'F -4 2 3'
_cell_length_a 6.827
_cell_length_b 6.827
_cell_length_c 6.827
_cell_angle_alpha 90.00
_cell_angle_beta 90.00
_cell_angle_gamma 90.00
loop_
_atom_site_label
_atom_site_type_symbol
_atom_site_fract_x
_atom_site_fract_y
_atom_site_fract_z
Lu1 Lu 0.000 0.000 0.000
Cd1 Cd 0.250 0.250 0.250
In1 In 0.000 0.000 0.500
Ru1 Ru 0.250 0.250 0.750